## LiCu5As2 (GGA-PBE)

Data for LiCu5As2 after structural relaxation.

a = 4.1990 Å, b = 4.1990 Å, c = 5.9475 Å
α = 90.00°, β = 90.00°, γ = 90.00°
Closest atoms and distances in Å follow each position.
Space group P4/mmm (No. 123)
Asymmetric unit:
Li: 0.0000 0.0000 0.0000 [1 per cell]  8 Cu 2.58
Cu: 0.0000 0.5000 0.2532 [4 per cell]  4 As 2.56-2.58, 2 Cu 2.56, 2 Li 2.58
Cu: 0.5000 0.5000 0.5000 [1 per cell]  8 Cu 2.56
As: 0.0000 0.0000 0.5000 [1 per cell]  8 Cu 2.56
As: 0.5000 0.5000 0.0000 [1 per cell]  8 Cu 2.58

- DFT total energy: -30.03 eV/cell